Record 1
SbPPbCl2: optimized geometry, GGA-PBE.

Raw formation energy, meV per atom: 19
Fermi-level density of states, states/eV per cell: 1.26
Calculated density, g/cm3: 4.4
E above lowest polymorph, kJ/mol of formula units: 0

Cell lengths 5.4117, 5.4117, 5.5256 Å; angles 90.00, 90.00, 90.00 degrees
With the nearest neighbours (Å) after each atom.
Space group P4/mmm (No. 123)
Symmetry-distinct sites (fractional):
Sb1 0.0000 0.0000 0.0000 [1 per cell]  4 Cl 2.71, 2 P 2.76
P1 0.0000 0.0000 0.5000 [1 per cell]  2 Sb 2.76
Pb1 0.5000 0.5000 0.5000 [1 per cell]  4 P 3.83, 8 Cl 3.87
Cl1 0.0000 0.5000 0.0000 [2 per cell]  2 Sb 2.71

***

Record 2
Mg2MnFe3S8: optimized geometry, GGA-PBE.

Raw formation energy, meV per atom: -605
Fermi-level density of states, states/eV per cell: 39.74
Calculated density, g/cm3: 3.6

Cell lengths 7.0228, 7.0228, 16.9839 Å; angles 90.00, 90.00, 120.00 degrees
With the nearest neighbours (Å) after each atom.
Space group R-3m (No. 166, hexagonal axes)
Symmetry-distinct sites (fractional):
Mg1 0.0000 0.0000 0.1261 [6 per cell]  4 S 2.41-2.42
Mn1 0.0000 0.0000 0.5000 [3 per cell]  6 S 2.37
Fe1 0.0000 0.5000 0.0000 [9 per cell]  6 S 2.30-2.31
S1 0.0000 0.0000 0.2680 [6 per cell]  3 Fe 2.31, 1 Mg 2.41
S2 0.0388 0.5194 0.2584 [18 per cell]  2 Fe 2.30, 1 Mn 2.37, 1 Mg 2.42

***

Record 3
YPSe: optimized geometry, GGA-PBE.

Raw formation energy, meV per atom: -1172
Fermi-level density of states, states/eV per cell: 0.76
Calculated density, g/cm3: 4.6

Cell lengths 3.8946, 3.9663, 9.5465 Å; angles 87.30, 79.78, 89.95 degrees
With the nearest neighbours (Å) after each atom.
Space group P1 (No. 1)
Symmetry-distinct sites (fractional):
Y1 0.0000 0.0000 0.0000 [1 per cell]  6 Se 2.85-2.98, 1 P 2.95
Y2 0.2615 0.4874 0.4500 [1 per cell]  5 P 2.83-2.97, 2 Se 2.91-2.92
P1 0.2775 0.8121 0.7059 [1 per cell]  1 P 2.16
P2 0.7023 0.9820 0.5409 [1 per cell]  1 P 2.16
Se1 0.5367 0.5216 0.8986 [1 per cell]  1 P 2.49
Se2 0.8598 0.4789 0.2191 [1 per cell]  4 Y 2.85-2.92

***

Record 4
Ag2PtAu: optimized geometry, GGA-PBE.

Energy of formation, kJ/mol of formula units: -5.5
Fermi-level density of states, states/eV per cell: 3.72
Calculated density, g/cm3: 14.7
E above lowest polymorph, kJ/mol of formula units: 2

Cell lengths 9.6276, 2.8769, 5.0267 Å; angles 90.00, 99.51, 90.00 degrees
With the nearest neighbours (Å) after each atom.
Space group C2/m (No. 12)
Symmetry-distinct sites (fractional):
Ag1 0.2474 0.0000 0.2457 [4 per cell]  6 Ag 2.87-2.93, 3 Pt 2.88-2.90, 3 Au 2.88-2.93
Pt1 0.0000 0.5000 0.0000 [2 per cell]  2 Pt 2.88, 6 Ag 2.88-2.90, 4 Au 2.90
Au1 0.0000 0.0000 0.5000 [2 per cell]  2 Au 2.88, 6 Ag 2.88-2.93, 4 Pt 2.90

***

Record 5
La10SmHo4: optimized geometry, GGA-PBE.

Energy of formation, kJ/mol of formula units: 289.2
Fermi-level density of states, states/eV per cell: 45.63
Calculated density, g/cm3: 6.8

Cell lengths 11.6031, 11.6031, 7.9350 Å; angles 90.00, 90.00, 90.00 degrees
With the nearest neighbours (Å) after each atom.
Space group I4/mmm (No. 139)
Symmetry-distinct sites (fractional):
La1 0.0000 0.2181 0.2104 [16 per cell]  4 La 3.29-3.58, 1 Sm 3.42, 4 Ho 3.52-3.60
La2 0.0000 0.5000 0.2500 [4 per cell]  4 La 3.29
Sm1 0.0000 0.0000 0.5000 [2 per cell]  8 La 3.42, 4 Ho 3.77
Ho1 0.2299 0.2299 0.5000 [8 per cell]  8 La 3.52-3.60, 1 Sm 3.77

***

Record 6
CaAg4: optimized geometry, GGA-PBE.

Energy of formation, kJ/mol of formula units: -47.9
Fermi-level density of states, states/eV per cell: 18.29
Calculated density, g/cm3: 7.0

Cell lengths 9.6343, 9.6343, 9.6343 Å; angles 90.00, 90.00, 90.00 degrees
With the nearest neighbours (Å) after each atom.
Space group I-43m (No. 217)
Symmetry-distinct sites (fractional):
Ca1 0.2133 0.2133 0.2133 [8 per cell]  4 Ag 3.02-3.20
Ag1 0.0000 0.0000 0.3518 [12 per cell]  7 Ag 2.77-2.86
Ag2 0.0000 0.2500 0.5000 [12 per cell]  4 Ag 2.80
Ag3 0.1059 0.1059 0.8941 [8 per cell]  6 Ag 2.77-2.89, 1 Ca 3.02

***

Record 7
Ir2PtBr: optimized geometry, GGA-PBE.

Raw formation energy, meV per atom: 1042
Fermi-level density of states, states/eV per cell: 26.17
Calculated density, g/cm3: 16.8
E above lowest polymorph, kJ/mol of formula units: 208

Cell lengths 6.3871, 6.3871, 6.3871 Å; angles 90.00, 90.00, 90.00 degrees
With the nearest neighbours (Å) after each atom.
Space group Fm-3m (No. 225)
Symmetry-distinct sites (fractional):
Ir1 0.2500 0.2500 0.2500 [8 per cell]  4 Br 2.77, 4 Pt 2.77
Pt1 0.0000 0.0000 0.0000 [4 per cell]  8 Ir 2.77
Br1 0.0000 0.0000 0.5000 [4 per cell]  8 Ir 2.77

***

Record 8
BaS2Br8: optimized geometry, GGA-PBE.

Raw formation energy, meV per atom: -390
Fermi-level density of states, states/eV per cell: 1.57
Calculated density, g/cm3: 2.7

Cell lengths 18.7068, 7.8912, 7.6690 Å; angles 90.00, 112.56, 90.00 degrees
With the nearest neighbours (Å) after each atom.
Space group C2/m (No. 12)
Symmetry-distinct sites (fractional):
Ba1 0.0000 0.0000 0.0000 [2 per cell]  6 Br 3.18-3.48
S1 0.1487 0.0000 0.6533 [4 per cell]  2 Br 2.17-2.36
Br1 0.0794 0.2516 0.8049 [8 per cell]  1 S 2.85, 1 Ba 3.18
Br2 0.1775 0.0000 0.3797 [4 per cell]  1 S 2.36
Br3 0.2360 0.5000 0.1264 [4 per cell]  1 S 2.17

***

Record 9
MgCuRuC: optimized geometry, GGA-PBE.

Energy of formation, kJ/mol of formula units: 86.4
Fermi-level density of states, states/eV per cell: 2.17
Calculated density, g/cm3: 6.3
E above lowest polymorph, kJ/mol of formula units: 0

Cell lengths 3.1393, 3.8381, 8.7280 Å; angles 90.00, 90.00, 90.00 degrees
With the nearest neighbours (Å) after each atom.
Space group Imm2 (No. 44)
Symmetry-distinct sites (fractional):
Mg1 0.0000 0.0000 0.0000 [2 per cell]  2 C 2.41
Cu1 0.0000 0.0000 0.6518 [2 per cell]  2 C 1.98
Ru1 0.0000 0.0000 0.3354 [2 per cell]  2 C 1.92
C1 0.0000 0.5000 0.7093 [2 per cell]  2 Ru 1.92, 2 Cu 1.98

***

Record 10
As4Au: optimized geometry, GGA-PBE.

Energy of formation, kJ/mol of formula units: 134.7
Fermi-level density of states, states/eV per cell: 5.57
Calculated density, g/cm3: 7.6
E above lowest polymorph, kJ/mol of formula units: 130

Cell lengths 5.2165, 5.2165, 7.9395 Å; angles 90.00, 90.00, 90.00 degrees
With the nearest neighbours (Å) after each atom.
Space group I4/mmm (No. 139)
Symmetry-distinct sites (fractional):
As1 0.0000 0.0000 0.1737 [4 per cell]  1 Au 2.59, 5 As 2.68-2.76
As2 0.0000 0.5000 0.2500 [4 per cell]  4 As 2.68
Au1 0.0000 0.0000 0.5000 [2 per cell]  2 As 2.59

***

Record 11
SmDyIr: optimized geometry, GGA-PBE.

Energy of formation, kJ/mol of formula units: -179.4
Fermi-level density of states, states/eV per cell: 11.72
Calculated density, g/cm3: 10.6
E above lowest polymorph, kJ/mol of formula units: 4

Cell lengths 12.0990, 3.8795, 8.1273 Å; angles 90.00, 123.60, 90.00 degrees
With the nearest neighbours (Å) after each atom.
Space group Cm (No. 8)
Symmetry-distinct sites (fractional):
Sm1 0.0000 0.0000 0.0000 [2 per cell]  4 Ir 2.99
Sm2 0.0889 0.5000 0.6998 [2 per cell]  3 Ir 2.85-2.89
Dy1 0.2443 0.0000 0.5374 [2 per cell]  3 Ir 2.81-2.91
Dy2 0.3408 0.5000 0.2371 [2 per cell]  4 Ir 2.95
Ir1 0.0482 0.5000 0.3137 [2 per cell]  4 Dy 2.81-2.95, 3 Sm 2.89-2.99, 1 Ir 2.96
Ir2 0.2896 0.0000 0.9286 [2 per cell]  4 Sm 2.85-2.99, 3 Dy 2.91-2.95, 1 Ir 2.96

***

Record 12
PaI2Br5: optimized geometry, GGA-PBE.

Raw formation energy, meV per atom: -786
Fermi-level density of states, states/eV per cell: 5.42
Calculated density, g/cm3: 3.9

Cell lengths 5.7938, 16.0240, 16.2182 Å; angles 90.00, 90.00, 90.00 degrees
With the nearest neighbours (Å) after each atom.
Space group Cmcm (No. 63)
Symmetry-distinct sites (fractional):
Pa1 0.0000 0.1914 0.2500 [4 per cell]  4 Br 2.65-2.83
I1 0.0000 0.1871 0.6261 [8 per cell]  2 Br 2.90
Br1 0.0000 0.0868 0.1237 [8 per cell]  1 Pa 2.65
Br2 0.0000 0.3205 0.1306 [8 per cell]  1 Pa 2.83, 2 I 2.90
Br3 0.0000 0.3788 0.7500 [4 per cell]  2 Pa 3.11

***

Record 13
Pr2Cu2Pd5: optimized geometry, GGA-PBE.

Energy of formation, kJ/mol of formula units: -479.9
Fermi-level density of states, states/eV per cell: 3.13
Calculated density, g/cm3: 9.4

Cell lengths 4.2430, 4.2430, 9.2552 Å; angles 90.00, 90.00, 90.00 degrees
With the nearest neighbours (Å) after each atom.
Space group P4/mmm (No. 123)
Symmetry-distinct sites (fractional):
Pr1 0.0000 0.0000 0.0000 [1 per cell]  8 Cu 3.21, 8 Pd 3.30
Pr2 0.0000 0.0000 0.5000 [1 per cell]  12 Pd 2.98-3.00
Cu1 0.5000 0.5000 0.1235 [2 per cell]  1 Cu 2.29, 4 Pd 2.53
Pd1 0.0000 0.5000 0.2731 [4 per cell]  2 Cu 2.53
Pd2 0.5000 0.5000 0.5000 [1 per cell]  8 Pd 2.98, 4 Pr 3.00

***

Record 14
SrAlZn: optimized geometry, GGA-PBE.

Energy of formation, kJ/mol of formula units: -62.8
Fermi-level density of states, states/eV per cell: 15.42
Calculated density, g/cm3: 3.8

Cell lengths 8.4254, 9.2710, 8.0503 Å; angles 90.00, 90.00, 90.00 degrees
With the nearest neighbours (Å) after each atom.
Space group Cmce (No. 64)
Symmetry-distinct sites (fractional):
Sr1 0.2500 0.1248 0.2500 [8 per cell]  6 Zn 3.40-3.42, 6 Al 3.41
Al1 0.0000 0.1249 0.5832 [8 per cell]  2 Zn 2.67-2.68, 1 Al 2.67
Zn1 0.0000 0.1251 0.9152 [8 per cell]  2 Al 2.67-2.68, 1 Zn 2.69

***

Record 15
ZrAgGeSe2: optimized geometry, GGA-PBE.

Raw formation energy, meV per atom: 153
Fermi-level density of states, states/eV per cell: 3.68
Calculated density, g/cm3: 5.0

Cell lengths 5.1378, 5.1378, 5.4014 Å; angles 90.00, 90.00, 90.00 degrees
With the nearest neighbours (Å) after each atom.
Space group P4/mmm (No. 123)
Symmetry-distinct sites (fractional):
Zr1 0.0000 0.0000 0.0000 [1 per cell]  4 Se 2.57, 2 Ag 2.70
Ag1 0.0000 0.0000 0.5000 [1 per cell]  2 Zr 2.70
Ge1 0.5000 0.5000 0.5000 [1 per cell]  4 Ag 3.63, 8 Se 3.73
Se1 0.0000 0.5000 0.0000 [2 per cell]  2 Zr 2.57

***

Record 16
LiNiHI2: optimized geometry, GGA-PBE.

Fermi-level density of states, states/eV per cell: 5.18
Calculated density, g/cm3: 4.1
E above lowest polymorph, kJ/mol of formula units: 185

Cell lengths 5.3400, 5.3400, 4.5296 Å; angles 90.00, 90.00, 90.00 degrees
With the nearest neighbours (Å) after each atom.
Space group P4/mmm (No. 123)
Symmetry-distinct sites (fractional):
Li1 0.0000 0.0000 0.0000 [1 per cell]  2 Ni 2.26
Ni1 0.0000 0.0000 0.5000 [1 per cell]  2 Li 2.26
H1 0.5000 0.5000 0.5000 [1 per cell]  8 I 3.50, 4 Ni 3.78
I1 0.0000 0.5000 0.0000 [2 per cell]  2 Li 2.67

***

Record 17
In2AuBr: optimized geometry, GGA-PBE.

Raw formation energy, meV per atom: -344
Fermi-level density of states, states/eV per cell: 1.49
Calculated density, g/cm3: 7.6
E above lowest polymorph, kJ/mol of formula units: 0

Cell lengths 7.1530, 4.1208, 7.8350 Å; angles 90.00, 106.77, 90.00 degrees
With the nearest neighbours (Å) after each atom.
Space group C2/m (No. 12)
Symmetry-distinct sites (fractional):
In1 0.2333 0.0000 0.2090 [4 per cell]  3 Au 2.85, 1 Br 3.19
Au1 0.0000 0.5000 0.0000 [2 per cell]  6 In 2.85
Br1 0.0000 0.0000 0.5000 [2 per cell]  6 In 3.19-3.25

***

Record 18
SmAl3Ga3: optimized geometry, GGA-PBE.

Energy of formation, kJ/mol of formula units: 141.1
Fermi-level density of states, states/eV per cell: 5.14
Calculated density, g/cm3: 4.3
E above lowest polymorph, kJ/mol of formula units: 0

Cell lengths 6.9755, 6.9755, 6.9755 Å; angles 90.00, 90.00, 90.00 degrees
With the nearest neighbours (Å) after each atom.
Space group Pm-3n (No. 223)
Symmetry-distinct sites (fractional):
Sm1 0.0000 0.0000 0.0000 [2 per cell]  12 Al 3.90, 12 Ga 3.90
Al1 0.0000 0.2500 0.5000 [6 per cell]  4 Ga 2.47
Ga1 0.0000 0.5000 0.2500 [6 per cell]  4 Al 2.47

***

Record 19
GeSI2: optimized geometry, GGA-PBE.

Raw formation energy, meV per atom: 578
Fermi-level density of states, states/eV per cell: 9.68
Calculated density, g/cm3: 5.5
E above lowest polymorph, kJ/mol of formula units: 36

Cell lengths 7.5652, 7.5652, 7.5652 Å; angles 90.00, 90.00, 90.00 degrees
With the nearest neighbours (Å) after each atom.
Space group Fm-3m (No. 225)
Symmetry-distinct sites (fractional):
Ge1 0.0000 0.0000 0.0000 [4 per cell]  8 I 3.28
S1 0.0000 0.0000 0.5000 [4 per cell]  8 I 3.28
I1 0.2500 0.2500 0.2500 [8 per cell]  4 S 3.28, 4 Ge 3.28

***

Record 20
Rb2NpI4O2: optimized geometry, GGA-PBE.

Raw formation energy, meV per atom: -1651
Fermi-level density of states, states/eV per cell: 6.25
Calculated density, g/cm3: 4.2

Cell lengths 12.6414, 8.5730, 7.0121 Å; angles 90.00, 100.76, 90.00 degrees
With the nearest neighbours (Å) after each atom.
Space group C2/m (No. 12)
Symmetry-distinct sites (fractional):
Rb1 0.1586 0.0000 0.3288 [4 per cell]  1 O 3.07
Np1 0.0000 0.5000 0.5000 [2 per cell]  2 O 1.79
I1 0.1049 0.2455 0.7755 [8 per cell]  1 Np 3.05
O1 0.1205 0.5000 0.3996 [4 per cell]  1 Np 1.79